# 1
Below is crystalline Ca3TaIn at its relaxed geometry, with properties calculated at the PBE-GGA level.

Calculated values
Calculated volume in Å³/atom: 35.5
Symmetry: No. 221

Unit cell a=5.6198 b=5.6198 c=5.6198 alpha=90.00 beta=90.00 gamma=90.00
Element x y z (fractional)
Ca  0.0000  0.5000  0.0000
Ca  0.0000  0.0000  0.5000
Ca  0.5000  0.0000  0.0000
In  0.5000  0.5000  0.5000
Ta  0.0000  0.0000  0.0000



# 2
Below is crystalline LaTaSb2 at its relaxed geometry, with properties calculated at the PBE-GGA level.

Calculated values
ΔE_f (raw) in eV/atom: -0.403
Calculated volume in Å³/atom: 27.5
Symmetry: No. 166

Unit cell a=4.2647 b=4.2647 c=7.4167 alpha=73.30 beta=73.30 gamma=60.00
Element x y z (fractional)
La  0.7500  0.7500  0.7500
Sb  0.9864  0.9864  0.0408
Sb  0.5136  0.5136  0.4592
Ta  0.2500  0.2500  0.2500



# 3
Below is crystalline BPtCl3 at its relaxed geometry, with properties calculated at the PBE-GGA level.

Calculated values
ΔE_f (raw) in eV/atom: 0.742
Calculated volume in Å³/atom: 23.2
Symmetry: No. 221

Unit cell a=4.8756 b=4.8756 c=4.8756 alpha=90.00 beta=90.00 gamma=90.00
Element x y z (fractional)
B  0.5000  0.5000  0.5000
Pt  0.0000  0.0000  0.0000
Cl  0.0000  0.5000  0.0000
Cl  0.0000  0.0000  0.5000
Cl  0.5000  0.0000  0.0000



# 4
Below is crystalline LiSm2Zn at its relaxed geometry, with properties calculated at the PBE-GGA level.

Calculated values
Calculated volume in Å³/atom: 25.5
Symmetry: No. 123

Unit cell a=3.7058 b=3.7058 c=7.4257 alpha=90.00 beta=90.00 gamma=90.00
Element x y z (fractional)
Zn  0.5000  0.5000  0.0000
Sm  0.0000  0.0000  0.7670
Sm  0.0000  0.0000  0.2330
Li  0.5000  0.5000  0.5000



# 5
Below is crystalline CaMg14Ga at its relaxed geometry, with properties calculated at the PBE-GGA level.

Calculated values
Calculated volume in Å³/atom: 23.3
Symmetry: No. 38

Unit cell a=6.4970 b=6.4970 c=10.3793 alpha=90.00 beta=90.00 gamma=121.72
Element x y z (fractional)
Ca  0.8260  0.1740  0.5000
Mg  0.8325  0.1675  0.0000
Mg  0.3293  0.6707  0.0000
Mg  0.3329  0.1814  0.5000
Mg  0.3291  0.1637  0.0000
Mg  0.8186  0.6671  0.5000
Mg  0.8363  0.6709  0.0000
Mg  0.1713  0.3332  0.2468
Mg  0.1713  0.3332  0.7532
Mg  0.6668  0.8287  0.2468
Mg  0.6668  0.8287  0.7532
Mg  0.6651  0.3349  0.2424
Mg  0.6651  0.3349  0.7576
Mg  0.1731  0.8269  0.2652
Mg  0.1731  0.8269  0.7348
Ga  0.3427  0.6573  0.5000



# 6
Below is crystalline LiZnSe3 at its relaxed geometry, with properties calculated at the PBE-GGA level.

Calculated values
ΔE_f (raw) in eV/atom: 0.026
Calculated volume in Å³/atom: 24.9
Symmetry: No. 221

Unit cell a=4.9941 b=4.9941 c=4.9941 alpha=90.00 beta=90.00 gamma=90.00
Element x y z (fractional)
Zn  0.0000  0.0000  0.0000
Se  0.0000  0.5000  0.0000
Se  0.0000  0.0000  0.5000
Se  0.5000  0.0000  0.0000
Li  0.5000  0.5000  0.5000



no.,total energy (eV per cell)
1,-16.00
2,-26.64
3,-14.55
4,-13.11
5,-27.68
6,-13.51